The following is a PBE calculation of ScTa2Al after structural relaxation, from Alexandria.

It has space group P4mm (No. 99), with a = 3.445 Å, b = 3.445 Å, c = 6.403 Å, α = 90.00°, β = 90.00° and γ = 90.00°. The inequivalent atoms are Sc at (0.000, 0.000, 0.000), Ta at (0.000, 0.000, 0.489), Ta at (0.500, 0.500, 0.279) and Al at (0.500, 0.500, 0.731).

The calculation puts the energy of formation from the pure elements at -0.1179 eV/atom. For the total magnetic moment, the calculation gives 0.00 Bohr magnetons per cell. The value obtained for the calculated density is 9.48 g cm⁻³.